No. 1
! Li2CoPCO7 | the Alexandria database | meta-GGA SCAN | single point on PBEsol structure; values from VASP
! Formation energy from raw total energies   -2.049 eV/atom
! SG   P2_1/m (11)
! D(E_F)   0.000 states/eV per atom
! M_tot   0.000 μB/f.u.
! VASP energy   -221.587 eV/cell
&SYSTEM
  ibrav = 0, nat = 24, ntyp = 5
/
ATOMIC_SPECIES
Li 6.94 Li.upf
Co 58.93 Co.upf
P 30.97 P.upf
C 12.01 C.upf
O 16.00 O.upf
CELL_PARAMETERS angstrom
4.853 0.000 0.000
0.000 6.105 0.000
-0.567 0.000 8.196
ATOMIC_POSITIONS crystal
Li 0.231 0.001 0.260
Li 0.231 0.499 0.260
Li 0.769 0.501 0.740
Li 0.769 0.999 0.740
Co 0.202 0.250 0.834
Co 0.798 0.750 0.166
P 0.281 0.750 0.920
P 0.719 0.250 0.080
C 0.276 0.250 0.558
C 0.724 0.750 0.442
O 0.034 0.250 0.619
O 0.159 0.750 0.089
O 0.178 0.554 0.815
O 0.178 0.946 0.815
O 0.315 0.250 0.409
O 0.398 0.250 0.049
O 0.474 0.250 0.676
O 0.526 0.750 0.324
O 0.602 0.750 0.951
O 0.685 0.750 0.591
O 0.822 0.054 0.185
O 0.822 0.446 0.185
O 0.841 0.250 0.911
O 0.966 0.750 0.381


No. 2
! TlSi2Au | the Alexandria database | meta-GGA SCAN | single point on PBEsol structure; values from VASP
! Formation energy from raw total energies   0.348 eV/atom
! Energy above the lowest structure with this stoichiometry   0.1648 eV per atom
! SG   I-42d (122)
! D(E_F)   0.340 states/eV per atom
! M_tot   0.000 μB/f.u.
! VASP energy   -320.307 eV/cell
&SYSTEM
  ibrav = 0, nat = 8, ntyp = 3
/
ATOMIC_SPECIES
Tl 204.38 Tl.upf
Si 28.09 Si.upf
Au 196.97 Au.upf
CELL_PARAMETERS angstrom
-2.204 2.204 8.592
2.204 -2.204 8.592
2.204 2.204 -8.592
ATOMIC_POSITIONS crystal
Tl 0.000 0.000 0.000
Tl 0.750 0.250 0.500
Si 0.230 0.625 0.105
Si 0.375 0.480 0.605
Si 0.520 0.125 0.895
Si 0.875 0.770 0.395
Au 0.250 0.750 0.500
Au 0.500 0.500 0.000


No. 3
! CrSbTe2I | the Alexandria database | meta-GGA SCAN | single point on PBEsol structure; values from VASP
! Formation energy from raw total energies   1.154 eV/atom
! Energy above the lowest structure with this stoichiometry   0.5706 eV per atom
! SG   P4/mmm (123)
! D(E_F)   0.853 states/eV per atom
! M_tot   3.544 μB/f.u.
! VASP energy   -161.117 eV/cell
&SYSTEM
  ibrav = 0, nat = 5, ntyp = 4
/
ATOMIC_SPECIES
Cr 52.00 Cr.upf
Sb 121.76 Sb.upf
Te 127.60 Te.upf
I 126.90 I.upf
CELL_PARAMETERS angstrom
5.722 0.000 0.000
0.000 5.722 0.000
0.000 0.000 5.715
ATOMIC_POSITIONS crystal
Cr 0.000 0.000 0.000
Sb 0.500 0.500 0.000
Te 0.000 0.500 0.500
Te 0.500 0.000 0.500
I 0.500 0.500 0.500


No. 4
! RbP2H5O8 | the Alexandria database | meta-GGA SCAN | single point on PBEsol structure; values from VASP
! SG   C2/c (15)
! D(E_F)   0.000 states/eV per atom
! M_tot   0.000 μB/f.u.
! VASP energy   -276.071 eV/cell
&SYSTEM
  ibrav = 0, nat = 32, ntyp = 4
/
ATOMIC_SPECIES
Rb 85.47 Rb.upf
P 30.97 P.upf
H 1.01 H.upf
O 16.00 O.upf
CELL_PARAMETERS angstrom
5.184 -3.882 0.000
5.184 3.882 0.000
-1.746 0.000 9.344
ATOMIC_POSITIONS crystal
Rb 0.000 0.000 0.000
Rb 0.000 0.000 0.500
P 0.260 0.375 0.808
P 0.375 0.260 0.308
P 0.625 0.740 0.692
P 0.740 0.625 0.192
H 0.094 0.545 0.181
H 0.301 0.699 0.750
H 0.306 0.370 0.531
H 0.370 0.306 0.031
H 0.455 0.906 0.319
H 0.545 0.094 0.681
H 0.630 0.694 0.969
H 0.694 0.630 0.469
H 0.699 0.301 0.250
H 0.906 0.455 0.819
O 0.042 0.317 0.816
O 0.212 0.623 0.823
O 0.269 0.426 0.431
O 0.271 0.358 0.169
O 0.317 0.042 0.316
O 0.358 0.271 0.669
O 0.377 0.788 0.677
O 0.426 0.269 0.931
O 0.574 0.731 0.069
O 0.623 0.212 0.323
O 0.642 0.729 0.331
O 0.683 0.958 0.684
O 0.729 0.642 0.831
O 0.731 0.574 0.569
O 0.788 0.377 0.177
O 0.958 0.683 0.184